No. 1
Material: PuMg4Sn5
Method: DFT, PBE
State: relaxed

Lattice parameters (Å, degrees): 5.262 5.262 17.736 90.00 90.04 90.00
Space group C2/m (No. 12)
One atom of each set of equivalent atoms:
Pu 0.000 0.000 0.000 (multiplicity 2)
Mg 0.000 0.000 0.401 (multiplicity 4)
Mg 0.001 0.000 0.207 (multiplicity 4)
Sn 0.000 0.500 0.115 (multiplicity 4)
Sn 0.000 0.500 0.500 (multiplicity 2)
Sn 0.001 0.500 0.303 (multiplicity 4)

Output
Its total magnetization is 12.14 μB per cell. For the final energy, the calculation gives -42.131 eV per formula unit. For the density, the calculation gives 6.3 g/cm³.



No. 2
Material: CoAs2Os
Method: DFT, PBE
State: relaxed

Lattice parameters (Å, degrees): 3.211 4.631 4.569 90.00 110.45 90.00
Space group Pm (No. 6)
One atom of each set of equivalent atoms:
Co 0.000 0.000 0.000 (multiplicity 1)
As 0.120 0.500 0.243 (multiplicity 1)
As 0.303 0.000 0.603 (multiplicity 1)
Os 0.416 0.500 0.833 (multiplicity 1)

Output
Its total magnetization is 0.00 μB per cell. For the final energy, the calculation gives -27.278 eV per formula unit. For the density, the calculation gives 10.4 g/cm³. Its energy above the most stable polymorph in this dataset is 0 meV per atom.



No. 3
Material: Be3C
Method: DFT, PBE
State: relaxed

Lattice parameters (Å, degrees): 9.614 2.192 3.075 90.00 108.53 90.00
Space group C2/m (No. 12)
One atom of each set of equivalent atoms:
Be 0.000 0.000 0.000 (multiplicity 2)
Be 0.183 0.000 0.683 (multiplicity 4)
C 0.000 0.500 0.500 (multiplicity 2)

Output
Its total magnetization is 0.00 μB per cell. For the final energy, the calculation gives -18.434 eV per formula unit. For the density, the calculation gives 2.1 g/cm³. Its energy above the most stable polymorph in this dataset is 285 meV per atom.